Below is an optimized crystal structure of NbP2Os, with properties calculated at the GGA-PBE level.

Total energy ... -33.13 eV/cell
DOS at the Fermi energy ... 0.66 states/eV per atom
M_tot ... 0.0 μB/f.u.
Space group ... Fm-3m, No. 225
Relative energy among the computed polymorphs ... 0.000 eV/atom
DFT formation energy ... -0.25 eV/atom

abc: 4.2765 4.2765 4.2765
angles: 60.00 60.00 60.00
Positions (direct):
Nb (0.0000, 0.0000, 0.0000)
P (0.7500, 0.7500, 0.7500)
Os (0.5000, 0.5000, 0.5000)
P (0.2500, 0.2500, 0.2500)